Entry from Alexandria via LeMat-Bulk: LaTmGaPt after structural relaxation (PBE).

The structure in extended XYZ format:
```
4
Lattice="-2.847 -1.875 -3.812 -0.997 -5.011 -0.221 -4.727 -1.710 0.941" Properties=species:S:1:pos:R:3 pbc="T T T"
Ga -2.143 -2.149 -0.773
Tm 0.000 0.000 0.000
La -4.285 -4.298 -1.546
Pt -6.428 -6.447 -2.319
```

The formation energy comes out at -0.80 eV per atom. Its uncorrected energy is -21.6 eV/cell.